No. 1
# PBE GaIr3Pd, relaxed
# Energy relative to the lowest polymorph listed for this composition (kJ/mol of formula units): 279
data_GaIr3Pd
_chemical_formula_sum 'Ga1 Ir3 Pd1'
_cell_length_a 4.768
_cell_length_b 4.768
_cell_length_c 4.768
_cell_angle_alpha 90.00
_cell_angle_beta 90.00
_cell_angle_gamma 90.00
_space_group_name_H-M_alt 'P m -3 m'
_space_group_IT_number 221
_space_group_name_Hall '-P 4 2 3'
loop_
_atom_site_label
_atom_site_fract_x
_atom_site_fract_y
_atom_site_fract_z
Ga1 0.000 0.000 0.000
Ir1 0.000 0.500 0.500
Pd1 0.500 0.500 0.500


No. 2
DFT (PBE) results for a relaxed structure of Ga6Ir2Pd.

Geometry as CIF:
```
data_Ga6Ir2Pd
_chemical_formula_sum 'Ga12 Ir4 Pd2'
_cell_length_a 6.223
_cell_length_b 6.657
_cell_length_c 9.535
_cell_angle_alpha 90.00
_cell_angle_beta 128.07
_cell_angle_gamma 90.00
_space_group_name_H-M_alt 'P 1 21/c 1'
_space_group_IT_number 14
loop_
_space_group_symop_operation_xyz
'x,y,z'
'-x,-y,-z'
'-x,y+1/2,-z+1/2'
'x,-y+1/2,z+1/2'
loop_
_atom_site_label
_atom_site_fract_x
_atom_site_fract_y
_atom_site_fract_z
Ga1 0.024 0.038 0.215
Ga2 0.202 0.663 0.064
Ga3 0.412 0.153 0.074
Ir1 0.285 0.159 0.752
Pd1 0.500 0.000 0.500
```


No. 3
# PBE Ga8IrPd2, relaxed
# Energy relative to the lowest polymorph listed for this composition (kJ/mol of formula units): 0
data_Ga8IrPd2
_chemical_formula_sum 'Ga16 Ir2 Pd4'
_cell_length_a 17.207
_cell_length_b 4.146
_cell_length_c 5.370
_cell_angle_alpha 90.00
_cell_angle_beta 103.95
_cell_angle_gamma 90.00
_space_group_name_H-M_alt 'C 1 2/m 1'
_space_group_IT_number 12
loop_
_space_group_symop_operation_xyz
'x,y,z'
'-x,-y,-z'
'-x,y,-z'
'x,-y,z'
'x+1/2,y+1/2,z'
'-x+1/2,-y+1/2,-z'
'-x+1/2,y+1/2,-z'
'x+1/2,-y+1/2,z'
loop_
_atom_site_label
_atom_site_fract_x
_atom_site_fract_y
_atom_site_fract_z
Ga1 0.022 0.000 0.289
Ga2 0.110 0.500 0.770
Ga3 0.140 0.500 0.308
Ga4 0.216 0.000 0.137
Ir1 0.000 0.500 0.000
Pd1 0.192 0.000 0.631


No. 4
DFT (PBE) results for a relaxed structure of Ga6IrPd2.

Geometry as CIF:
```
data_Ga6IrPd2
_chemical_formula_sum 'Ga12 Ir2 Pd4'
_cell_length_a 5.372
_cell_length_b 6.980
_cell_length_c 9.013
_cell_angle_alpha 90.00
_cell_angle_beta 115.64
_cell_angle_gamma 90.00
_space_group_name_H-M_alt 'P 1 21/c 1'
_space_group_IT_number 14
loop_
_space_group_symop_operation_xyz
'x,y,z'
'-x,-y,-z'
'-x,y+1/2,-z+1/2'
'x,-y+1/2,z+1/2'
loop_
_atom_site_label
_atom_site_fract_x
_atom_site_fract_y
_atom_site_fract_z
Ga1 0.055 0.159 0.438
Ga2 0.359 0.691 0.450
Ga3 0.383 0.007 0.287
Ir1 0.000 0.000 0.000
Pd1 0.203 0.120 0.758
```


No. 5
# PBE GaIr3Pd, relaxed
# Energy relative to the lowest polymorph listed for this composition (kJ/mol of formula units): 0
data_GaIr3Pd
_chemical_formula_sum 'Ga1 Ir3 Pd1'
_cell_length_a 4.528
_cell_length_b 4.528
_cell_length_c 4.528
_cell_angle_alpha 90.00
_cell_angle_beta 90.00
_cell_angle_gamma 90.00
_space_group_name_H-M_alt 'P m -3 m'
_space_group_IT_number 221
_space_group_name_Hall '-P 4 2 3'
loop_
_atom_site_label
_atom_site_fract_x
_atom_site_fract_y
_atom_site_fract_z
Ga1 0.000 0.000 0.000
Ir1 0.000 0.000 0.500
Pd1 0.500 0.500 0.500


No. 6
DFT (PBE) results for a relaxed structure of Ga3Ir2Pd.

Geometry as CIF:
```
data_Ga3Ir2Pd
_chemical_formula_sum 'Ga3 Ir2 Pd1'
_cell_length_a 2.948
_cell_length_b 2.948
_cell_length_c 10.063
_cell_angle_alpha 90.00
_cell_angle_beta 90.00
_cell_angle_gamma 90.00
_space_group_name_H-M_alt 'P 4/m m m'
_space_group_IT_number 123
_space_group_name_Hall '-P 4 2'
loop_
_atom_site_label
_atom_site_fract_x
_atom_site_fract_y
_atom_site_fract_z
Ga1 0.000 0.000 0.000
Ga2 0.000 0.000 0.326
Ir1 0.500 0.500 0.165
Pd1 0.500 0.500 0.500
```


no.,uncorrected energy (eV for the cell shown),formation enthalpy at 0 K (kJ per mole of atoms)
1,-24.93,190.4
2,-87.90,-30.8
3,-94.52,-33.3
4,-80.49,-30.4
5,-27.83,134.6
6,-34.75,-44.2